Compound: MgCo3S
Source: the Alexandria database
Functional: PBE
Structure: optimized geometry

Cell lengths 4.4035, 4.4035, 4.4035 Å; angles 90.00, 90.00, 90.00 degrees
Atoms (fractional coordinates):
S (0.5000, 0.5000, 0.5000)
Co (0.0000, 0.5000, 0.0000)
Co (0.0000, 0.0000, 0.5000)
Co (0.5000, 0.0000, 0.0000)
Mg (0.0000, 0.0000, 0.0000)

Summary:
energy above the most stable polymorph in this dataset	1588	meV per atom
magnetic moment	0.99	μB/atom
theoretical density	4535	kg/m³

=====

Compound: MgCo3S
Source: the Alexandria database
Functional: PBE
Structure: optimized geometry

Cell lengths 4.1257, 4.1257, 4.1257 Å; angles 90.00, 90.00, 90.00 degrees
Atoms (fractional coordinates):
S (0.0000, 0.0000, 0.0000)
Co (0.0000, 0.5000, 0.0000)
Co (0.0000, 0.0000, 0.5000)
Co (0.5000, 0.0000, 0.0000)
Mg (0.5000, 0.5000, 0.5000)

Summary:
energy above the most stable polymorph in this dataset	0	meV per atom
magnetic moment	0.58	μB/atom
theoretical density	5513	kg/m³

=====

Compound: Mg3CoS
Source: the Alexandria database
Functional: PBE
Structure: optimized geometry

Cell lengths 4.7414, 4.7414, 4.7414 Å; angles 90.00, 90.00, 90.00 degrees
Atoms (fractional coordinates):
S (0.5000, 0.5000, 0.5000)
Co (0.0000, 0.0000, 0.0000)
Mg (0.0000, 0.5000, 0.0000)
Mg (0.0000, 0.0000, 0.5000)
Mg (0.5000, 0.0000, 0.0000)

Summary:
energy above the most stable polymorph in this dataset	120	meV per atom
magnetic moment	0.00	μB/atom
theoretical density	2553	kg/m³

=====

Compound: Mg3CoS
Source: the Alexandria database
Functional: PBE
Structure: optimized geometry

Cell lengths 4.7530, 4.7530, 4.7530 Å; angles 90.00, 90.00, 90.00 degrees
Atoms (fractional coordinates):
S (0.0000, 0.0000, 0.0000)
Co (0.5000, 0.5000, 0.5000)
Mg (0.0000, 0.5000, 0.0000)
Mg (0.0000, 0.0000, 0.5000)
Mg (0.5000, 0.0000, 0.0000)

Summary:
energy above the most stable polymorph in this dataset	0	meV per atom
magnetic moment	0.21	μB/atom
theoretical density	2535	kg/m³

=====

Compound: MgCo2S
Source: the Alexandria database
Functional: PBE
Structure: optimized geometry

Cell lengths 6.6305, 6.6305, 5.3652 Å; angles 51.84, 51.84, 90.00 degrees
Atoms (fractional coordinates):
S (0.0000, 0.0000, 0.0000)
S (0.7500, 0.2500, 0.5000)
Co (0.7185, 0.1250, 0.2500)
Co (0.0315, 0.6250, 0.2500)
Co (0.3750, 0.2815, 0.7500)
Co (0.8750, 0.9685, 0.7500)
Mg (0.5000, 0.5000, 0.0000)
Mg (0.2500, 0.7500, 0.5000)

Summary:
energy above the most stable polymorph in this dataset	0	meV per atom
magnetic moment	0.00	μB/atom
theoretical density	5046	kg/m³

=====

Compound: MgCo2S4
Source: the Alexandria database
Functional: PBE
Structure: optimized geometry

Cell lengths 6.9235, 6.9235, 6.9235 Å; angles 60.00, 60.00, 60.00 degrees
Atoms (fractional coordinates):
Mg (0.0000, 0.0000, 0.0000)
Mg (0.2500, 0.2500, 0.2500)
Co (0.6250, 0.6250, 0.6250)
Co (0.1250, 0.6250, 0.6250)
Co (0.6250, 0.1250, 0.6250)
Co (0.6250, 0.6250, 0.1250)
S (0.8565, 0.8565, 0.8565)
S (0.8195, 0.3935, 0.3935)
S (0.3935, 0.3935, 0.8195)
S (0.3935, 0.8195, 0.3935)
S (0.8565, 0.8565, 0.4305)
S (0.8565, 0.4305, 0.8565)
S (0.3935, 0.3935, 0.3935)
S (0.4305, 0.8565, 0.8565)

Summary:
energy above the most stable polymorph in this dataset	0	meV per atom
magnetic moment	0.00	μB/atom
theoretical density	3827	kg/m³

=====

Compound: MgCoS2
Source: the Alexandria database
Functional: PBE
Structure: optimized geometry

Cell lengths 5.3201, 5.3201, 6.5705 Å; angles 66.12, 66.12, 90.00 degrees
Atoms (fractional coordinates):
S (0.6734, 0.1250, 0.2500)
S (0.0766, 0.6250, 0.2500)
S (0.3750, 0.3266, 0.7500)
S (0.8750, 0.9234, 0.7500)
Co (0.0000, 0.0000, 0.0000)
Co (0.7500, 0.2500, 0.5000)
Mg (0.5000, 0.5000, 0.0000)
Mg (0.2500, 0.7500, 0.5000)

Summary:
magnetic moment	0.00	μB/atom
theoretical density	3210	kg/m³

=====

Compound: MgCo2S4
Source: the Alexandria database
Functional: PBE
Structure: optimized geometry

Cell lengths 6.8897, 6.8897, 6.8897 Å; angles 120.53, 119.53, 89.95 degrees
Atoms (fractional coordinates):
Mg (0.0000, 0.0000, 0.5000)
Mg (0.0000, 0.5000, 0.0000)
Co (0.3752, 0.6252, 0.7500)
Co (0.6248, 0.3748, 0.2500)
Co (0.0000, 0.0000, 0.0000)
Co (0.5000, 0.0000, 0.5000)
S (0.7429, 0.2189, 0.9760)
S (0.7429, 0.7668, 0.5240)
S (0.7236, 0.2338, 0.4899)
S (0.2571, 0.7811, 0.0240)
S (0.7561, 0.7662, 0.9899)
S (0.2571, 0.2332, 0.4760)
S (0.2439, 0.2338, 0.0101)
S (0.2764, 0.7662, 0.5101)

Summary:
energy above the most stable polymorph in this dataset	132	meV per atom
magnetic moment	0.23	μB/atom
theoretical density	3886	kg/m³

=====

Compound: MgCo2S4
Source: the Alexandria database
Functional: PBE
Structure: optimized geometry

Cell lengths 6.8414, 6.8414, 6.8414 Å; angles 120.27, 118.64, 90.95 degrees
Atoms (fractional coordinates):
Mg (0.5000, 0.5000, 0.0000)
Mg (0.0000, 0.5000, 0.5000)
Co (0.5000, 0.0000, 0.0000)
Co (0.5000, 0.0000, 0.5000)
Co (0.5000, 0.5000, 0.5000)
Co (0.0000, 0.0000, 0.0000)
S (0.7275, 0.7614, 0.9661)
S (0.7340, 0.2039, 0.9699)
S (0.2952, 0.7614, 0.5339)
S (0.2660, 0.2359, 0.4699)
S (0.7048, 0.2386, 0.4661)
S (0.2660, 0.7961, 0.0301)
S (0.7340, 0.7641, 0.5301)
S (0.2725, 0.2386, 0.0339)

Summary:
energy above the most stable polymorph in this dataset	61	meV per atom
magnetic moment	0.00	μB/atom
theoretical density	3936	kg/m³

=====

Compound: MgCo2S
Source: the Alexandria database
Functional: PBE
Structure: optimized geometry

Cell lengths 4.1021, 4.1021, 4.1021 Å; angles 60.00, 60.00, 60.00 degrees
Atoms (fractional coordinates):
S (0.5000, 0.5000, 0.5000)
Co (0.2500, 0.2500, 0.2500)
Co (0.7500, 0.7500, 0.7500)
Mg (0.0000, 0.0000, 0.0000)

Summary:
energy above the most stable polymorph in this dataset	212	meV per atom
magnetic moment	0.50	μB/atom
theoretical density	5928	kg/m³

=====

Compound: MgCoS3
Source: the Alexandria database
Functional: PBE
Structure: optimized geometry

Cell lengths 4.4724, 4.4724, 4.4724 Å; angles 90.00, 90.00, 90.00 degrees
Atoms (fractional coordinates):
S (0.0000, 0.5000, 0.0000)
S (0.0000, 0.0000, 0.5000)
S (0.5000, 0.0000, 0.0000)
Co (0.0000, 0.0000, 0.0000)
Mg (0.5000, 0.5000, 0.5000)

Summary:
energy above the most stable polymorph in this dataset	0	meV per atom
magnetic moment	0.29	μB/atom
theoretical density	3331	kg/m³

=====

Compound: MgTa2CoS
Source: the Alexandria database
Functional: PBE
Structure: optimized geometry

Cell lengths 4.5889, 4.1476, 4.5889 Å; angles 90.00, 90.00, 90.00 degrees
Atoms (fractional coordinates):
S (0.0000, 0.0000, 0.0000)
Co (0.0000, 0.5000, 0.0000)
Mg (0.5000, 0.5000, 0.5000)
Ta (0.0000, 0.0000, 0.5000)
Ta (0.5000, 0.0000, 0.0000)

Summary:
magnetic moment	0.14	μB/atom
theoretical density	9073	kg/m³

=====

Number 1: total energy -3.815 eV per atom. Number 2: total energy -5.403 eV per atom. Number 3: total energy -2.858 eV per atom. Number 4: total energy -2.978 eV per atom. Number 5: total energy -4.985 eV per atom. Number 6: total energy -5.234 eV per atom. Number 7: total energy -4.886 eV per atom. Number 8: total energy -5.101 eV per atom. Number 9: total energy -5.173 eV per atom. Number 10: total energy -4.773 eV per atom. Number 11: total energy -4.200 eV per atom. Number 12: total energy -7.110 eV per atom.